No. 1
A plane-wave DFT calculation with GGA-PBE was carried out for a relaxed NaCu2GeSe4 crystal.

Output
DFT total energy, eV/atom: -3.8951
ΔE_f (raw), eV/atom: -0.387

Unit cell a=6.1701 b=6.1701 c=6.6759 alpha=117.50 beta=117.50 gamma=90.04
Element x y z (fractional)
Cu1 0.7500 0.2500 0.5000
Se1 0.4214 0.8634 0.2848
Se2 0.1362 0.1362 0.7150
Se3 0.8634 0.4214 0.2848
Ge1 0.4998 0.4998 0.9997
Na1 0.0007 0.0007 0.0014
Se4 0.5788 0.5788 0.7150
Cu2 0.2500 0.7500 0.5000

=====

No. 2
A plane-wave DFT calculation with GGA-PBE was carried out for a relaxed PrB2SbO8 crystal.

Output
DFT total energy, eV/atom: -7.0855
ΔE_f (raw), eV/atom: -1.925

Unit cell a=4.7301 b=4.7301 c=6.9269 alpha=90.00 beta=90.00 gamma=120.00
Element x y z (fractional)
B1 0.6667 0.3333 0.2590
O1 0.6542 0.7168 0.6876
O2 0.9374 0.6542 0.3124
O3 0.3458 0.2832 0.3124
B2 0.3333 0.6667 0.7410
O4 0.6667 0.3333 0.0438
O5 0.3333 0.6667 0.9562
Sb1 0.0000 0.0000 0.5000
O6 0.2832 0.9374 0.6876
Pr1 0.0000 0.0000 0.0000
O7 0.0626 0.3458 0.6876
O8 0.7168 0.0626 0.3124

=====

No. 3
A plane-wave DFT calculation with GGA-PBE was carried out for a relaxed PaH2OsO8 crystal.

Output
DFT total energy, eV/atom: -6.9523

Unit cell a=5.0683 b=5.0612 c=6.4366 alpha=91.00 beta=91.12 gamma=81.42
Element x y z (fractional)
H1 0.6655 0.6674 0.3174
O1 0.7670 0.7674 0.0164
O2 0.2047 0.8196 0.2240
O3 0.2330 0.2326 0.9836
Os1 0.0000 0.0000 0.0000
O4 0.7953 0.1804 0.7760
O5 0.1796 0.7947 0.7766
Pa1 0.0000 0.0000 0.5000
O6 0.2732 0.2727 0.5454
O7 0.8204 0.2053 0.2234
O8 0.7268 0.7273 0.4546
H2 0.3345 0.3326 0.6826

=====

No. 4
A plane-wave DFT calculation with GGA-PBE was carried out for a relaxed Mg2TcGe crystal.

Output
DFT total energy, eV/atom: -4.1014
Energy of formation from the pure elements, meV per atom: 442

Unit cell a=7.5377 b=7.5377 c=5.9286 alpha=50.53 beta=50.53 gamma=90.00
Element x y z (fractional)
Mg1 0.1275 0.6250 0.2500
Ge1 0.2500 0.7500 0.5000
Mg2 0.3750 0.3775 0.7500
Tc1 0.7500 0.2500 0.5000
Mg3 0.6225 0.1250 0.2500
Tc2 0.0000 0.0000 0.0000
Mg4 0.8750 0.8725 0.7500
Ge2 0.5000 0.5000 0.0000

=====

No. 5
A plane-wave DFT calculation with GGA-PBE was carried out for a relaxed NaPrNdTm crystal.

Output
DFT total energy, eV/atom: -3.5819
Energy of formation from the pure elements, meV per atom: 253

Unit cell a=5.7441 b=5.7441 c=5.7441 alpha=60.00 beta=60.00 gamma=60.00
Element x y z (fractional)
Pr1 0.5000 0.5000 0.5000
Nd1 0.0000 0.0000 0.0000
Tm1 0.2500 0.2500 0.2500
Na1 0.7500 0.7500 0.7500

=====

No. 6
A plane-wave DFT calculation with GGA-PBE was carried out for a relaxed Sm2US6 crystal.

Output
DFT total energy, eV/atom: -6.5970
Polymorph energy (0 for the lowest one), eV per formula unit: 0.68
ΔE_f (raw), eV/atom: -1.542

Unit cell a=6.3782 b=6.3782 c=12.2978 alpha=90.00 beta=90.00 gamma=90.00
Element x y z (fractional)
S1 0.1887 0.8113 0.1546
S2 0.6887 0.6887 0.3454
S3 0.7125 0.7125 0.0000
Sm1 0.5000 0.5000 0.1654
S4 0.8113 0.1887 0.8454
S5 0.6887 0.6887 0.6546
U1 0.5000 0.5000 0.5000
S6 0.2125 0.7875 0.5000
S7 0.1887 0.8113 0.8454
S8 0.7875 0.2125 0.5000
S9 0.3113 0.3113 0.3454
Sm2 0.0000 0.0000 0.6654
U2 0.0000 0.0000 0.0000
Sm3 0.5000 0.5000 0.8346
S10 0.8113 0.1887 0.1546
S11 0.3113 0.3113 0.6546
S12 0.2875 0.2875 0.0000
Sm4 0.0000 0.0000 0.3346

=====

| no. | DOS at the Fermi energy (states/eV/cell) |
| --- | --- |
| 1 | 8.86 |
| 2 | 8.24 |
| 3 | 5.68 |
| 4 | 3.70 |
| 5 | 4.99 |
| 6 | 0.75 |